CuTc4Br (GGA-PBE, relaxed); V = 98.46 Å³/f.u.; uncorrected formation energy = 964 meV/atom; calculated density = 9030 kg/m³; crystal system = cubic
1.0
0.000 3.665 3.665
3.665 0.000 3.665
3.665 3.665 0.000
Cu Tc Br
1 4 1
Cartesian
0.000 0.000 0.000
2.754 2.754 2.754
4.576 4.576 2.754
4.576 2.754 4.576
2.754 4.576 4.576
5.498 5.498 5.498



CuTcBr (GGA-PBE, relaxed); V = 52.37 Å³/f.u.; energy relative to the lowest polymorph listed for this composition = 192 meV per atom; uncorrected formation energy = 792 meV/atom; calculated density = 7656 kg/m³; crystal system = orthorhombic
1.0
0.000 2.668 6.550
1.499 0.000 6.550
1.499 2.668 0.000
Cu Tc Br
1 1 1
Cartesian
0.000 0.000 0.000
1.499 2.668 8.594
1.499 2.668 4.151



CuTcBr (GGA-PBE, relaxed); V = 50.74 Å³/f.u.; energy relative to the lowest polymorph listed for this composition = 0 meV per atom; uncorrected formation energy = 599 meV/atom; calculated density = 7901 kg/m³; crystal system = trigonal
1.0
3.057 0.000 0.000
-1.528 2.647 0.000
0.000 0.000 6.270
Cu Tc Br
1 1 1
Cartesian
0.000 0.000 0.000
1.528 0.882 1.907
0.000 1.765 3.791



CuTcBr2 (GGA-PBE, relaxed); V = 81.81 Å³/f.u.; energy relative to the lowest polymorph listed for this composition = 375 meV per atom; uncorrected formation energy = 629 meV/atom; calculated density = 6523 kg/m³; crystal system = monoclinic
1.0
3.488 0.000 0.000
0.000 4.045 0.000
-0.449 0.000 5.797
Cu Tc Br
1 1 2
Cartesian
0.000 0.000 0.000
-0.224 0.000 2.898
0.524 2.023 4.314
2.516 2.023 1.483



CuTeBr2 (GGA-PBE, relaxed); V = 116.79 Å³/f.u.; uncorrected formation energy = 194 meV/atom; calculated density = 4990 kg/m³; crystal system = tetragonal
1.0
3.150 0.000 0.000
0.000 3.150 0.000
0.000 0.000 11.767
Cu Te Br
1 1 2
Cartesian
0.000 0.000 0.000
0.000 0.000 5.883
1.575 1.575 1.699
1.575 1.575 10.067



Cu5Te3Br12 (GGA-PBE, relaxed); V = 573.24 Å³/f.u.; uncorrected formation energy = -77 meV/atom; calculated density = 4807 kg/m³; crystal system = cubic
1.0
-8.307 8.307 8.307
8.307 -8.307 8.307
8.307 8.307 -8.307
Cu Te Br
20 12 48
Cartesian
0.000 0.000 0.000
4.154 4.154 -4.154
4.154 -4.154 4.154
8.307 0.000 0.000
12.461 2.077 0.000
8.307 -4.154 6.230
6.230 8.307 -4.154
6.230 0.000 4.154
4.154 6.230 0.000
8.307 4.154 2.077
-4.154 4.154 4.154
0.000 8.307 0.000
0.000 0.000 8.307
4.154 4.154 4.154
0.000 4.154 6.230
4.154 2.077 8.307
2.077 8.307 4.154
2.077 0.000 12.461
0.000 12.461 2.077
-4.154 6.230 8.307
4.154 2.077 0.000
8.307 4.154 -2.077
2.077 0.000 4.154
10.384 0.000 4.154
0.000 4.154 2.077
4.154 -2.077 8.307
4.154 10.384 0.000
8.307 4.154 6.230
-2.077 8.307 4.154
6.230 8.307 4.154
0.000 4.154 10.384
4.154 6.230 8.307
2.565 -0.318 0.633
9.895 4.787 -4.472
10.872 0.318 0.633
9.895 -3.520 4.472
7.989 -0.633 2.565
12.779 -1.588 3.520
0.633 2.565 -0.318
11.827 3.835 -1.588
4.787 4.472 -1.588
7.674 2.565 0.318
-0.318 0.633 2.565
4.472 -1.588 4.787
7.989 7.674 -2.565
4.472 1.588 3.520
4.787 -4.472 9.895
7.674 -2.565 7.989
3.520 4.472 1.588
8.941 5.742 0.318
4.472 9.895 -3.520
7.989 0.633 5.742
2.565 7.989 -0.633
9.895 3.520 3.835
1.588 3.520 4.472
2.565 0.318 7.674
5.742 7.989 0.633
6.719 4.787 3.835
-1.588 4.787 4.472
5.742 0.318 8.941
0.318 7.674 2.565
3.835 -1.588 11.827
-0.633 2.565 7.989
4.787 3.835 6.719
0.633 10.872 0.318
3.520 12.779 -1.588
3.835 6.719 4.787
0.318 0.633 10.872
3.835 9.895 3.520
8.625 7.674 5.742
0.633 5.742 7.989
3.520 3.835 9.895
-3.520 4.472 9.895
7.674 5.742 8.625
-4.472 9.895 4.787
0.318 8.941 5.742
-1.588 11.827 3.835
-2.565 7.989 7.674
-1.588 3.520 12.779
5.742 8.625 7.674



Cu2TeBr (GGA-PBE, relaxed); V = 91.29 Å³/f.u.; energy relative to the lowest polymorph listed for this composition = 120 meV per atom; uncorrected formation energy = -45 meV/atom; calculated density = 6086 kg/m³; crystal system = tetragonal
1.0
3.545 0.000 0.000
0.000 3.545 0.000
0.000 0.000 7.266
Cu Te Br
2 1 1
Cartesian
0.000 0.000 0.000
1.772 1.772 1.356
0.000 0.000 2.510
1.772 1.772 6.073



Cu2TeBr (GGA-PBE, relaxed); V = 87.49 Å³/f.u.; energy relative to the lowest polymorph listed for this composition = 127 meV per atom; uncorrected formation energy = -39 meV/atom; calculated density = 6351 kg/m³; crystal system = monoclinic
1.0
3.727 -1.787 0.000
3.727 1.787 0.000
-3.699 0.000 6.570
Cu Te Br
2 1 1
Cartesian
-0.402 0.000 1.880
4.158 0.000 4.689
1.878 0.000 3.285
3.727 0.000 0.000